This record from the Alexandria database describes a relaxed SiH2F8 crystal. The functional is GGA-PBE.

Results
total magnetization: 0.184 μB per atom
ΔE to the lowest computed polymorph: 36 meV/atom
volume: 12.8 Å³/atom

Lattice parameters (Å, degrees): 9.753 5.464 5.306 90.00 95.67 90.00
Space group C2/m (No. 12)
One atom of each set of equivalent atoms:
1 Si 0.000 0.000 0.000 x2
2 H 0.242 0.500 0.693 x4
3 F 0.085 0.000 0.735 x4
4 F 0.110 0.217 0.129 x8
5 F 0.152 0.500 0.607 x4

This record from the Alexandria database describes a relaxed SnHRu crystal. The functional is GGA-PBE.

Results
total magnetization: 0.000 μB per atom
E_tot: -5.50 eV/atom
volume: 12.9 Å³/atom

Lattice parameters (Å, degrees): 3.2983 3.2983 4.0957 90.00 90.00 120.00
Space group P-6m2 (No. 187)
One atom of each set of equivalent atoms:
1 Sn 0.0000 0.0000 0.0000 x1
2 H 0.6667 0.3333 0.5000 x1
3 Ru 0.3333 0.6667 0.5000 x1

This record from the Alexandria database describes a relaxed BaCrCu3 crystal. The functional is GGA-PBE.

Results
total magnetization: 0.978 μB per atom
ΔE to the lowest computed polymorph: 1205 meV/atom
volume: 33.8 Å³/atom
ΔH_f (0 K): 163.3 kJ per mole of atoms

Lattice parameters (Å, degrees): 5.530 5.530 5.530 90.00 90.00 90.00
Space group Pm-3m (No. 221)
One atom of each set of equivalent atoms:
1 Ba 0.000 0.000 0.000 x1
2 Cr 0.500 0.500 0.500 x1
3 Cu 0.000 0.000 0.500 x3

This record from the Alexandria database describes a relaxed KCdIF2 crystal. The functional is GGA-PBE.

Results
total magnetization: 0.000 μB per atom
volume: 25.3 Å³/atom
ΔE_f (raw): -1782 meV/atom

Lattice parameters (Å, degrees): 4.646 4.646 5.865 90.00 90.00 90.00
Space group P4/mmm (No. 123)
One atom of each set of equivalent atoms:
1 K 0.000 0.000 0.000 x1
2 Cd 0.500 0.500 0.500 x1
3 I 0.500 0.500 0.000 x1
4 F 0.000 0.500 0.500 x2

This record from the Alexandria database describes a relaxed Ba3Tl5Cd6 crystal. The functional is GGA-PBE.

Results
total magnetization: 0.000 μB per atom
volume: 30.8 Å³/atom
ΔH_f (0 K): -25.7 kJ per mole of atoms

Lattice parameters (Å, degrees): 5.188 15.256 10.895 90.00 90.00 90.00
Space group Pmmn (No. 59, origin choice 2)
One atom of each set of equivalent atoms:
1 Ba 0.250 0.053 0.247 x4
2 Ba 0.250 0.750 0.251 x2
3 Tl 0.250 0.087 0.885 x4
4 Tl 0.250 0.604 0.528 x4
5 Tl 0.250 0.750 0.757 x2
6 Cd 0.250 0.093 0.612 x4
7 Cd 0.250 0.250 0.048 x2
8 Cd 0.250 0.250 0.447 x2
9 Cd 0.250 0.609 0.976 x4

This record from the Alexandria database describes a relaxed CsRb6 crystal. The functional is GGA-PBE.

Results
total magnetization: 0.000 μB per atom
ΔE to the lowest computed polymorph: 196 meV/atom
volume: 125.8 Å³/atom
ΔH_f (0 K): 21.9 kJ per mole of atoms

Lattice parameters (Å, degrees): 12.076 12.076 12.076 90.00 90.00 90.00
Space group Im-3m (No. 229)
One atom of each set of equivalent atoms:
1 Cs 0.000 0.000 0.000 x2
2 Rb 0.000 0.250 0.500 x12

Copy entry 2 word for word.
This record from the Alexandria database describes a relaxed SnHRu crystal. The functional is GGA-PBE.

Results
total magnetization: 0.000 μB per atom
E_tot: -5.50 eV/atom
volume: 12.9 Å³/atom

Lattice parameters (Å, degrees): 3.2983 3.2983 4.0957 90.00 90.00 120.00
Space group P-6m2 (No. 187)
One atom of each set of equivalent atoms:
1 Sn 0.0000 0.0000 0.0000 x1
2 H 0.6667 0.3333 0.5000 x1
3 Ru 0.3333 0.6667 0.5000 x1

Question: total magnetization of number 3 (BaCrCu3)?
Answer: 0.978 μB per atom